Arrangement one

A relaxed structure of Sc2ZnHPd, computed with PBE.

Cell and atoms, written as POSCAR:
```
Sc2ZnHPd
1.0
4.635 0.000 0.000
0.000 4.635 0.000
0.000 0.000 3.583
Sc H Zn Pd
2 1 1 1
direct
0.000 0.500 0.000
0.500 0.000 0.000
0.000 0.000 0.000
0.500 0.500 0.500
0.000 0.000 0.500
```

Computed properties:
Calculated volume   15.40 Å³ per atom


Arrangement two

A relaxed structure of Sc2ZnHPd, computed with PBE.

Cell and atoms, written as POSCAR:
```
Sc2ZnHPd
1.0
-0.615 -4.239 -1.378
2.120 -1.501 3.674
-3.224 -0.121 1.811
Sc H Zn Pd
2 1 1 1
direct
0.000 0.500 0.000
0.500 0.000 0.000
0.000 0.000 0.000
0.000 0.000 0.500
0.500 0.500 0.500
```

Computed properties:
Calculated volume   14.98 Å³ per atom


What should be chosen as the most stable of them? Choose arrangement one.


Arrangement one

A relaxed structure of H2Pd6Se, computed with PBE.

Cell and atoms, written as POSCAR:
```
H2Pd6Se
1.0
4.129 0.000 0.000
2.065 4.990 -0.852
2.065 1.043 5.800
H Pd Se
2 6 1
direct
0.164 0.835 0.837
0.836 0.165 0.163
0.683 0.789 0.844
0.317 0.211 0.156
0.030 0.786 0.154
0.349 0.797 0.505
0.970 0.214 0.846
0.651 0.203 0.495
0.000 0.500 0.500
```

Computed properties:
Calculated volume   13.69 Å³ per atom


Arrangement two

A relaxed structure of H2Pd6Se, computed with PBE.

Cell and atoms, written as POSCAR:
```
H2Pd6Se
1.0
-2.495 -3.275 2.909
0.799 -3.763 -3.611
3.582 0.699 3.820
H Pd Se
2 6 1
direct
0.499 0.672 0.326
0.501 0.328 0.674
0.735 0.627 0.627
0.265 0.621 0.993
0.265 0.993 0.621
0.735 0.379 0.007
0.265 0.373 0.373
0.735 0.007 0.379
0.000 0.000 0.000
```

Computed properties:
Calculated volume   13.64 Å³ per atom


What should be chosen as the most stable of them? Choose arrangement one.


Arrangement one

A relaxed structure of HPd6Se, computed with PBE.

Cell and atoms, written as POSCAR:
```
HPd6Se
1.0
-1.131 -1.423 5.006
3.829 -1.964 3.140
1.943 3.290 4.209
H Pd Se
1 6 1
direct
0.500 0.500 0.500
0.081 0.478 0.731
0.710 0.081 0.731
0.522 0.290 0.270
0.290 0.919 0.269
0.919 0.522 0.269
0.478 0.710 0.730
0.000 0.000 0.000
```

Computed properties:
Calculated volume   14.68 Å³ per atom


Arrangement two

A relaxed structure of HPd6Se, computed with PBE.

Cell and atoms, written as POSCAR:
```
HPd6Se
1.0
6.483 -0.139 -2.036
-3.398 5.427 -2.278
0.374 0.294 7.127
H Pd Se
2 12 2
direct
0.000 0.000 0.500
0.500 0.500 0.500
0.099 0.640 0.739
0.901 0.360 0.261
0.791 0.704 0.495
0.209 0.296 0.505
0.848 0.160 0.641
0.152 0.840 0.359
0.481 0.793 0.641
0.519 0.207 0.359
0.721 0.866 0.194
0.279 0.134 0.806
0.672 0.527 0.806
0.328 0.473 0.194
0.000 0.500 0.000
0.500 0.000 0.000
```

Computed properties:
Calculated volume   16.12 Å³ per atom


What should be chosen as the most stable of them? Choose arrangement one.